Record 1
RbYSn | PBE | relaxed

Values from the calculation:
- Energy relative to the elements: -1.7 kcal/mol of atoms
- DOS at the Fermi energy: 0.000 states/eV per atom
- V: 436.21 Å³/cell
- ΔE to the lowest computed polymorph: 316 meV per atom
- Electronic total energy: -46.6 eV/cell

Cell lengths 7.871, 5.214, 10.629 Å; angles 90.00, 90.00, 90.00 degrees
Element x y z (fractional)
Rb  0.129  0.250  0.048
Rb  0.371  0.750  0.548
Rb  0.629  0.250  0.452
Rb  0.871  0.750  0.952
Y  0.056  0.250  0.659
Y  0.444  0.750  0.159
Y  0.556  0.250  0.841
Y  0.944  0.750  0.341
Sn  0.160  0.250  0.372
Sn  0.340  0.750  0.872
Sn  0.660  0.250  0.128
Sn  0.840  0.750  0.628

Record 2
RbYSn | PBE | relaxed

Values from the calculation:
- Energy relative to the elements: -5.4 kcal/mol of atoms
- DOS at the Fermi energy: 0.779 states/eV per atom
- V: 244.54 Å³/cell
- ΔE to the lowest computed polymorph: 157 meV per atom
- Electronic total energy: -24.3 eV/cell

Cell lengths 3.647, 4.459, 15.038 Å; angles 90.04, 90.17, 90.00 degrees
Element x y z (fractional)
Rb  0.000  0.000  0.000
Rb  0.491  0.498  0.298
Y  0.494  0.498  0.558
Y  0.497  0.499  0.782
Sn  0.993  0.998  0.464
Sn  0.995  0.999  0.680

Record 3
RbYSn | PBE | relaxed

Values from the calculation:
- Energy relative to the elements: -9.0 kcal/mol of atoms
- DOS at the Fermi energy: 0.000 states/eV per atom
- V: 251.53 Å³/cell
- ΔE to the lowest computed polymorph: 0 meV per atom
- Electronic total energy: -25.2 eV/cell

Cell lengths 5.458, 5.458, 8.443 Å; angles 90.00, 90.00, 90.00 degrees
Element x y z (fractional)
Rb  0.250  0.250  0.130
Rb  0.750  0.750  0.870
Y  0.250  0.750  0.500
Y  0.750  0.250  0.500
Sn  0.250  0.250  0.677
Sn  0.750  0.750  0.323

Record 4
RbYSn | PBE | relaxed

Values from the calculation:
- Energy relative to the elements: -5.7 kcal/mol of atoms
- DOS at the Fermi energy: 0.644 states/eV per atom
- V: 286.46 Å³/cell
- ΔE to the lowest computed polymorph: 142 meV per atom
- Electronic total energy: -24.4 eV/cell

Cell lengths 4.739, 5.679, 12.092 Å; angles 76.89, 89.94, 65.35 degrees
Element x y z (fractional)
Rb  0.190  0.122  0.175
Rb  0.810  0.878  0.825
Y  0.376  0.747  0.551
Y  0.624  0.253  0.449
Sn  0.090  0.320  0.622
Sn  0.910  0.680  0.378

Record 5
RbYSn | PBE | relaxed

Values from the calculation:
- Energy relative to the elements: -6.2 kcal/mol of atoms
- DOS at the Fermi energy: 0.000 states/eV per atom
- V: 273.39 Å³/cell
- ΔE to the lowest computed polymorph: 121 meV per atom
- Electronic total energy: -24.5 eV/cell

Cell lengths 5.234, 5.234, 11.523 Å; angles 90.06, 90.06, 60.01 degrees
Element x y z (fractional)
Rb  0.000  0.000  0.000
Rb  0.666  0.666  0.325
Y  0.000  0.000  0.597
Y  0.333  0.333  0.765
Sn  0.333  0.333  0.504
Sn  0.666  0.666  0.772

Record 6
RbYSn | PBE | relaxed

Values from the calculation:
- Energy relative to the elements: -6.2 kcal/mol of atoms
- DOS at the Fermi energy: 0.000 states/eV per atom
- V: 269.17 Å³/cell
- ΔE to the lowest computed polymorph: 120 meV per atom
- Electronic total energy: -24.5 eV/cell

Cell lengths 5.242, 5.242, 11.718 Å; angles 102.95, 102.95, 59.94 degrees
Element x y z (fractional)
Rb  0.000  0.000  0.000
Rb  0.563  0.563  0.685
Y  0.137  0.137  0.410
Y  0.747  0.747  0.239
Sn  0.412  0.412  0.234
Sn  0.836  0.836  0.505

Record 7
RbYSn | PBE | relaxed

Values from the calculation:
- Energy relative to the elements: -3.6 kcal/mol of atoms
- DOS at the Fermi energy: 0.953 states/eV per atom
- V: 266.59 Å³/cell
- ΔE to the lowest computed polymorph: 234 meV per atom
- Electronic total energy: -23.8 eV/cell

Cell lengths 8.239, 8.239, 7.373 Å; angles 90.00, 90.00, 147.81 degrees
Element x y z (fractional)
Rb  0.190  0.810  0.750
Rb  0.810  0.190  0.250
Y  0.055  0.945  0.250
Y  0.945  0.055  0.750
Sn  0.500  0.500  0.000
Sn  0.500  0.500  0.500

Record 8
Rb2YSn | PBE | relaxed

Values from the calculation:
- Energy relative to the elements: 6.2 kcal/mol of atoms
- DOS at the Fermi energy: 0.562 states/eV per atom
- V: 539.07 Å³/cell
- Electronic total energy: -22.6 eV/cell

Cell lengths 9.986, 9.986, 9.986 Å; angles 95.05, 95.05, 145.47 degrees
Element x y z (fractional)
Rb  0.375  0.228  0.353
Rb  0.772  0.125  0.147
Rb  0.875  0.022  0.647
Rb  0.978  0.625  0.853
Y  0.250  0.750  0.500
Y  0.500  0.500  0.000
Sn  0.000  0.000  0.000
Sn  0.750  0.250  0.500

Record 9
RbYSn | PBE | relaxed

Values from the calculation:
- Energy relative to the elements: -7.3 kcal/mol of atoms
- DOS at the Fermi energy: 0.567 states/eV per atom
- V: 268.32 Å³/cell
- ΔE to the lowest computed polymorph: 75 meV per atom
- Electronic total energy: -24.8 eV/cell

Cell lengths 4.256, 4.566, 14.153 Å; angles 80.79, 81.42, 90.00 degrees
Element x y z (fractional)
Rb  0.000  0.000  0.000
Rb  0.344  0.343  0.303
Y  0.110  0.622  0.752
Y  0.709  0.721  0.552
Sn  0.200  0.212  0.570
Sn  0.612  0.123  0.750

Record 10
RbYSn | PBE | relaxed

Values from the calculation:
- Energy relative to the elements: 1.7 kcal/mol of atoms
- DOS at the Fermi energy: 0.000 states/eV per atom
- V: 122.81 Å³/cell
- ΔE to the lowest computed polymorph: 463 meV per atom
- Electronic total energy: -11.2 eV/cell

Cell lengths 5.579, 5.579, 5.579 Å; angles 60.00, 60.00, 60.00 degrees
Element x y z (fractional)
Rb  0.000  0.000  0.000
Y  0.500  0.500  0.500
Sn  0.750  0.750  0.750

Record 11
RbYSn | PBE | relaxed

Values from the calculation:
- Energy relative to the elements: -4.5 kcal/mol of atoms
- DOS at the Fermi energy: 0.373 states/eV per atom
- V: 240.22 Å³/cell
- ΔE to the lowest computed polymorph: 198 meV per atom
- Electronic total energy: -24.0 eV/cell

Cell lengths 6.116, 6.116, 8.108 Å; angles 116.72, 116.72, 72.66 degrees
Element x y z (fractional)
Rb  0.192  0.192  0.013
Rb  0.808  0.808  0.987
Y  0.310  0.310  0.588
Y  0.690  0.690  0.412
Sn  0.222  0.778  0.500
Sn  0.778  0.222  0.500

Record 12
RbYSn | PBE | relaxed

Values from the calculation:
- Energy relative to the elements: -8.6 kcal/mol of atoms
- DOS at the Fermi energy: 0.962 states/eV per atom
- V: 251.26 Å³/cell
- ΔE to the lowest computed polymorph: 17 meV per atom
- Electronic total energy: -25.1 eV/cell

Cell lengths 3.832, 4.651, 14.100 Å; angles 90.00, 90.61, 90.00 degrees
Element x y z (fractional)
Rb  0.235  0.000  0.157
Rb  0.765  0.500  0.843
Y  0.247  0.998  0.421
Y  0.753  0.498  0.579
Sn  0.256  0.999  0.650
Sn  0.744  0.499  0.350